Density functional theory data (GGA-PBE) for a geometry-optimized Tb12Nd6Sc structure.

Structure (POSCAR):
```
Tb12Nd6Sc
1.0
-3.991 2.905 7.014
-6.946 -4.678 -1.852
3.030 -6.568 4.608
Tb Nd Sc
12 6 1
Cartesian
-2.371 -2.458 5.651
-2.410 -5.200 3.278
-3.199 -1.198 0.788
-5.496 -3.141 6.492
-4.708 -7.143 8.981
-6.970 -8.013 6.408
-5.065 -2.730 3.238
-0.347 -3.201 1.387
-0.936 -0.328 3.362
-5.535 -5.883 4.119
-7.560 -5.140 8.383
-2.841 -5.611 6.532
-4.417 -4.696 0.546
-3.602 -8.551 4.943
-4.304 0.210 4.826
-8.347 -4.092 4.911
0.441 -4.249 4.859
-3.489 -3.645 9.223
0.000 0.000 0.000
```

Computed properties:
**Formation energy from the elements**: 3.3 kcal/mol of atoms
**ρ**: 7.42 g/cm³
**Energy**: -87.75 eV per formula unit
**Crystal system**: trigonal